! TlVF3, optimized geometry, DFT PBE+U; values from VASP
&SYSTEM
  ibrav = 0, nat = 10, ntyp = 3
/
ATOMIC_SPECIES
V 50.94 V.upf
F 19.00 F.upf
Tl 204.38 Tl.upf
ATOMIC_POSITIONS angstrom
V 12.602 -10.023 5.563
V 2.514 -1.999 1.110
F 7.673 -3.675 3.825
F 9.778 -5.559 2.579
F 7.442 -8.347 2.848
F 7.156 -5.902 0.983
F 7.959 -6.120 5.690
F 5.337 -6.463 4.094
Tl 5.687 -4.523 2.510
Tl 9.429 -7.499 4.162
CELL_PARAMETERS angstrom
3.396 -4.509 5.042
4.566 -6.026 -0.343
7.153 -1.487 1.974
! ρ ... 5.38 g/cm³
! SG ... No. 148
! Energy above the most stable polymorph in this dataset ... 0.0300 eV/atom
! Total energy ... -5.39 eV/atom